Density functional theory data (GGA-PBE) for an optimized crystal structure of Pa2CuTcN5.

The space group is Cmc2_1 (No. 36) and the conventional cell measures 3.358, 13.803 and 9.208 Å, with angles of 90.00, 90.00 and 90.00 degrees. The inequivalent atoms are Pa at (0.000, 0.127, 0.000), Pa at (0.000, 0.130, 0.581), Cu at (0.000, 0.493, 0.778), Tc at (0.000, 0.209, 0.291), N at (0.000, 0.072, 0.322), N at (0.000, 0.291, 0.947), N at (0.000, 0.296, 0.650), N at (0.000, 0.361, 0.296) and N at (0.000, 0.496, 0.557).

For the raw formation energy, the calculation gives -0.765 eV per atom. The calculated total energy is -0.335 hartree per atom. Its total magnetization is 0.0 μB per formula unit.

***

Density functional theory data (GGA-PBE) for an optimized crystal structure of Pa2CuTe2N2.

The space group is P-3m1 (No. 164) and the conventional cell measures 3.9664, 3.9664 and 12.0176 Å, with angles of 90.00, 90.00 and 120.00 degrees. The inequivalent atoms are Pa at (0.3333, 0.6667, 0.1171), Cu at (0.0000, 0.0000, 0.5000), Te at (0.0000, 0.0000, 0.2967) and N at (0.3333, 0.6667, 0.9299).

For the raw formation energy, the calculation gives -1.087 eV per atom. The calculated total energy is -0.282 hartree per atom. Its total magnetization is 0.9 μB per formula unit.

***

Density functional theory data (GGA-PBE) for an optimized crystal structure of Th2PaCuN5.

The space group is Cmc2_1 (No. 36) and the conventional cell measures 3.495, 13.958 and 10.546 Å, with angles of 90.00, 90.00 and 90.00 degrees. The inequivalent atoms are Th at (0.000, 0.113, 0.000), Th at (0.000, 0.125, 0.620), Pa at (0.000, 0.194, 0.318), Cu at (0.000, 0.494, 0.795), N at (0.000, 0.041, 0.385), N at (0.000, 0.291, 0.963), N at (0.000, 0.301, 0.673), N at (0.000, 0.355, 0.323) and N at (0.000, 0.496, 0.102).

For the raw formation energy, the calculation gives -1.096 eV per atom. The calculated total energy is -0.326 hartree per atom. Its total magnetization is 0.0 μB per formula unit.